! HoSb (GGA-PBE, optimized geometry); values from VASP
! E_form (uncorrected): -765 meV per atom
! SG: Pm-3m (221)
! D(E_F): 0.9329 states/eV/atom
&SYSTEM
  ibrav = 0, nat = 2, ntyp = 2
/
ATOMIC_SPECIES
Ho 164.93 Ho.upf
Sb 121.76 Sb.upf
ATOMIC_POSITIONS crystal
Ho 0.000 0.000 0.000
Sb 0.500 0.500 0.500
CELL_PARAMETERS angstrom
3.782 0.000 0.000
0.000 3.782 0.000
0.000 0.000 3.782

! Pm2Si3Pd6 (GGA-PBE, optimized geometry); values from VASP
! E_form (uncorrected): -826 meV per atom
! SG: P-62m (189)
! D(E_F): 0.7715 states/eV/atom
&SYSTEM
  ibrav = 0, nat = 11, ntyp = 3
/
ATOMIC_SPECIES
Pm 145.00 Pm.upf
Si 28.09 Si.upf
Pd 106.42 Pd.upf
ATOMIC_POSITIONS crystal
Pm 0.333 0.667 0.000
Pm 0.667 0.333 0.000
Si 0.000 0.365 0.500
Si 0.365 0.000 0.500
Si 0.635 0.635 0.500
Pd 0.000 0.214 0.000
Pd 0.000 0.692 0.500
Pd 0.214 0.000 0.000
Pd 0.308 0.308 0.500
Pd 0.692 0.000 0.500
Pd 0.786 0.786 0.000
CELL_PARAMETERS angstrom
7.354 0.000 0.000
-3.677 6.368 0.000
0.000 0.000 4.302

! SmDy3Co (GGA-PBE, optimized geometry); values from VASP
! Calculated formation energy: -0.011 eV/atom
! SG: Pm-3m (221)
! D(E_F): 1.7846 states/eV/atom
&SYSTEM
  ibrav = 0, nat = 5, ntyp = 3
/
ATOMIC_SPECIES
Sm 150.36 Sm.upf
Dy 162.50 Dy.upf
Co 58.93 Co.upf
ATOMIC_POSITIONS crystal
Sm 0.000 0.000 0.000
Dy 0.000 0.500 0.500
Dy 0.500 0.000 0.500
Dy 0.500 0.500 0.000
Co 0.500 0.500 0.500
CELL_PARAMETERS angstrom
5.290 0.000 0.000
0.000 5.290 0.000
0.000 0.000 5.290

! YTaTc2 (GGA-PBE, optimized geometry); values from VASP
! Calculated formation energy: 0.104 eV/atom
! SG: Cmmm (65)
! D(E_F): 0.9136 states/eV/atom
&SYSTEM
  ibrav = 0, nat = 4, ntyp = 3
/
ATOMIC_SPECIES
Y 88.91 Y.upf
Ta 180.95 Ta.upf
Tc 98.00 Tc.upf
ATOMIC_POSITIONS crystal
Y 0.000 0.000 0.000
Ta 0.000 0.000 0.500
Tc 0.500 0.500 0.270
Tc 0.500 0.500 0.730
CELL_PARAMETERS angstrom
1.651 -2.447 0.000
1.651 2.447 0.000
0.000 0.000 8.915

! Tl2AgIrO (GGA-PBE, optimized geometry); values from VASP
! E_form (uncorrected): 1318 meV per atom
! SG: P4/mmm (123)
! D(E_F): 1.4294 states/eV/atom
&SYSTEM
  ibrav = 0, nat = 5, ntyp = 4
/
ATOMIC_SPECIES
Tl 204.38 Tl.upf
Ag 107.87 Ag.upf
Ir 192.22 Ir.upf
O 16.00 O.upf
ATOMIC_POSITIONS crystal
Tl 0.000 0.500 0.000
Tl 0.500 0.000 0.000
Ag 0.000 0.000 0.000
Ir 0.000 0.000 0.500
O 0.500 0.500 0.500
CELL_PARAMETERS angstrom
5.497 0.000 0.000
0.000 5.497 0.000
0.000 0.000 5.031

! LiCu2Ir (GGA-PBE, optimized geometry); values from VASP
! Calculated formation energy: 0.056 eV/atom
! SG: R-3m (166)
! D(E_F): 0.8254 states/eV/atom
&SYSTEM
  ibrav = 0, nat = 4, ntyp = 3
/
ATOMIC_SPECIES
Li 6.94 Li.upf
Cu 63.55 Cu.upf
Ir 192.22 Ir.upf
ATOMIC_POSITIONS crystal
Li 0.000 0.000 0.000
Cu 0.251 0.251 0.251
Cu 0.749 0.749 0.749
Ir 0.500 0.500 0.500
CELL_PARAMETERS angstrom
1.324 0.765 8.765
-1.324 0.765 8.765
0.000 -1.529 8.765

! Ac2Pr5NdY (GGA-PBE, optimized geometry); values from VASP
! Calculated formation energy: 0.126 eV/atom
! SG: Cmc2_1 (36)
! D(E_F): 1.4289 states/eV/atom
&SYSTEM
  ibrav = 0, nat = 18, ntyp = 4
/
ATOMIC_SPECIES
Ac 227.00 Ac.upf
Pr 140.91 Pr.upf
Nd 144.24 Nd.upf
Y 88.91 Y.upf
ATOMIC_POSITIONS crystal
Ac 0.112 0.888 0.500
Ac 0.119 0.881 0.086
Ac 0.881 0.119 0.586
Ac 0.888 0.112 0.000
Pr 0.019 0.981 0.790
Pr 0.282 0.718 0.073
Pr 0.294 0.706 0.465
Pr 0.395 0.605 0.791
Pr 0.481 0.519 0.511
Pr 0.519 0.481 0.011
Pr 0.605 0.395 0.291
Pr 0.706 0.294 0.965
Pr 0.718 0.282 0.573
Pr 0.981 0.019 0.290
Nd 0.208 0.792 0.773
Nd 0.792 0.208 0.273
Y 0.408 0.592 0.233
Y 0.592 0.408 0.733
CELL_PARAMETERS angstrom
2.948 -10.525 0.000
2.948 10.525 0.000
0.000 0.000 11.089

! SbSI2O (GGA-PBE, optimized geometry); values from VASP
! E_form (uncorrected): 310 meV per atom
! SG: P4/mmm (123)
! D(E_F): 0.7933 states/eV/atom
&SYSTEM
  ibrav = 0, nat = 5, ntyp = 4
/
ATOMIC_SPECIES
Sb 121.76 Sb.upf
S 32.06 S.upf
I 126.90 I.upf
O 16.00 O.upf
ATOMIC_POSITIONS crystal
Sb 0.000 0.000 0.000
S 0.500 0.500 0.500
I 0.000 0.500 0.500
I 0.500 0.000 0.500
O 0.500 0.500 0.000
CELL_PARAMETERS angstrom
5.850 0.000 0.000
0.000 5.850 0.000
0.000 0.000 3.624

no.,spin magnetization (μB per atom)
1,0.000
2,0.000
3,0.051
4,0.000
5,0.492
6,0.000
7,0.000
8,0.000